No. 1
Compound: Sm4Y2MgSc
Source: the Alexandria database
Functional: PBE
Structure: relaxed

a b c (Å): 5.000 4.998 9.864
angles (deg): 90.00 90.07 90.00
Space group P2/m (No. 10)
Symmetry-distinct sites (fractional):
Sm 0.000 0.000 0.248 (multiplicity 2)
Sm 0.499 0.500 0.248 (multiplicity 2)
Y 0.000 0.500 0.000 (multiplicity 1)
Y 0.500 0.000 0.500 (multiplicity 1)
Mg 0.000 0.500 0.500 (multiplicity 1)
Sc 0.500 0.000 0.000 (multiplicity 1)

Properties
Energy of formation: 0.193 eV per formula unit



No. 2
Compound: AcLa5NdHo2
Source: the Alexandria database
Functional: PBE
Structure: relaxed

a b c (Å): 5.907 17.732 12.513
angles (deg): 90.00 90.00 90.00
Space group Cmc2_1 (No. 36)
Symmetry-distinct sites (fractional):
Ac 0.000 0.117 0.000 (multiplicity 4)
La 0.000 0.075 0.352 (multiplicity 4)
La 0.000 0.079 0.669 (multiplicity 4)
La 0.000 0.269 0.209 (multiplicity 4)
La 0.000 0.271 0.796 (multiplicity 4)
La 0.000 0.438 0.652 (multiplicity 4)
Nd 0.000 0.245 0.502 (multiplicity 4)
Ho 0.000 0.389 0.004 (multiplicity 4)
Ho 0.000 0.438 0.359 (multiplicity 4)

Properties
Energy of formation: 0.637 eV per formula unit



No. 3
Compound: Er4SbAs2Se
Source: the Alexandria database
Functional: PBE
Structure: relaxed

a b c (Å): 7.160 4.137 7.201
angles (deg): 90.00 109.27 90.00
Space group P2/m (No. 10)
Symmetry-distinct sites (fractional):
Er 0.242 0.000 0.234 (multiplicity 2)
Er 0.253 0.500 0.765 (multiplicity 2)
Sb 0.500 0.500 0.500 (multiplicity 1)
As 0.000 0.500 0.000 (multiplicity 1)
As 0.500 0.000 0.000 (multiplicity 1)
Se 0.000 0.000 0.500 (multiplicity 1)

Properties
Uncorrected formation energy: -1.494 eV per atom



No. 4
Compound: TbY2AlC
Source: the Alexandria database
Functional: PBE
Structure: relaxed

a b c (Å): 4.893 4.893 4.922
angles (deg): 90.00 90.00 90.00
Space group P4/mmm (No. 123)
Symmetry-distinct sites (fractional):
Tb 0.000 0.000 0.000 (multiplicity 1)
Y 0.000 0.500 0.500 (multiplicity 2)
Al 0.500 0.500 0.000 (multiplicity 1)
C 0.000 0.000 0.500 (multiplicity 1)

Properties
Energy of formation: -2.011 eV per formula unit



No. 5
Compound: PmNdEr5
Source: the Alexandria database
Functional: PBE
Structure: relaxed

a b c (Å): 11.621 6.815 12.087
angles (deg): 90.00 108.85 90.00
Space group C2/c (No. 15)
Symmetry-distinct sites (fractional):
Pm 0.000 0.025 0.250 (multiplicity 4)
Nd 0.250 0.250 0.000 (multiplicity 4)
Er 0.000 0.413 0.750 (multiplicity 4)
Er 0.077 0.277 0.498 (multiplicity 8)
Er 0.222 0.357 0.254 (multiplicity 8)

Properties
Energy of formation: 1.371 eV per formula unit
Energy above the lowest structure with this stoichiometry: 0.0000 eV/atom



No. 6
Compound: PaCdCu2O6
Source: the Alexandria database
Functional: PBE
Structure: relaxed

a b c (Å): 5.4793 5.4793 15.9785
angles (deg): 90.00 90.00 120.00
Space group R-3 (No. 148, hexagonal axes)
Symmetry-distinct sites (fractional):
Pa 0.0000 0.0000 0.0000 (multiplicity 3)
Cd 0.0000 0.0000 0.5000 (multiplicity 3)
Cu 0.0000 0.0000 0.2525 (multiplicity 6)
O 0.0044 0.6826 0.9193 (multiplicity 18)

Properties
Uncorrected formation energy: -1.527 eV per atom



No. 7
Compound: Be2ClO2
Source: the Alexandria database
Functional: PBE
Structure: relaxed

a b c (Å): 7.140 7.140 2.434
angles (deg): 90.00 90.00 90.00
Space group P4/mbm (No. 127)
Symmetry-distinct sites (fractional):
Be 0.087 0.413 0.000 (multiplicity 4)
Cl 0.000 0.000 0.500 (multiplicity 2)
O 0.103 0.603 0.500 (multiplicity 4)

Properties
Uncorrected formation energy: -0.511 eV per atom
Energy above the lowest structure with this stoichiometry: 1.2623 eV/atom



No. 8
Compound: CaH6Ir
Source: the Alexandria database
Functional: PBE
Structure: relaxed

a b c (Å): 7.045 4.847 8.563
angles (deg): 90.00 106.75 90.00
Space group C2/c (No. 15)
Symmetry-distinct sites (fractional):
Ca 0.000 0.202 0.250 (multiplicity 4)
H 0.077 0.493 0.015 (multiplicity 8)
H 0.174 0.063 0.537 (multiplicity 8)
H 0.178 0.226 0.796 (multiplicity 8)
Ir 0.250 0.250 0.000 (multiplicity 4)



No. 9
Compound: Mn2IrRh
Source: the Alexandria database
Functional: PBE
Structure: relaxed

a b c (Å): 6.075 6.075 6.075
angles (deg): 90.00 90.00 90.00
Space group F-43m (No. 216)
Symmetry-distinct sites (fractional):
Mn 0.000 0.000 0.000 (multiplicity 4)
Mn 0.250 0.250 0.250 (multiplicity 4)
Ir 0.000 0.000 0.500 (multiplicity 4)
Rh 0.250 0.250 0.750 (multiplicity 4)

Properties
Energy of formation: 0.684 eV per formula unit



No. 10
Compound: ScMn4Pt
Source: the Alexandria database
Functional: PBE
Structure: relaxed

a b c (Å): 6.778 6.778 6.778
angles (deg): 90.00 90.00 90.00
Space group F-43m (No. 216)
Symmetry-distinct sites (fractional):
Sc 0.000 0.000 0.000 (multiplicity 4)
Mn 0.125 0.125 0.625 (multiplicity 16)
Pt 0.250 0.250 0.250 (multiplicity 4)

Properties
Energy of formation: -0.641 eV per formula unit



No. 11
Compound: CdCoPCl2
Source: the Alexandria database
Functional: PBE
Structure: relaxed

a b c (Å): 4.998 4.998 5.340
angles (deg): 90.00 90.00 90.00
Space group P4/mmm (No. 123)
Symmetry-distinct sites (fractional):
Cd 0.000 0.000 0.000 (multiplicity 1)
Co 0.500 0.500 0.500 (multiplicity 1)
P 0.000 0.000 0.500 (multiplicity 1)
Cl 0.000 0.500 0.000 (multiplicity 2)

Properties
Uncorrected formation energy: 0.783 eV per atom
Energy above the lowest structure with this stoichiometry: 0.7421 eV/atom



No. 12
Compound: Zr2Bi3
Source: the Alexandria database
Functional: PBE
Structure: relaxed

a b c (Å): 7.266 3.771 11.349
angles (deg): 90.00 107.85 90.00
Space group P2_1/m (No. 11)
Symmetry-distinct sites (fractional):
Zr 0.092 0.250 0.148 (multiplicity 2)
Zr 0.246 0.250 0.491 (multiplicity 2)
Bi 0.038 0.250 0.686 (multiplicity 2)
Bi 0.312 0.750 0.025 (multiplicity 2)
Bi 0.499 0.750 0.677 (multiplicity 2)

Properties
Energy of formation: -0.648 eV per formula unit



No. 13
Compound: Ni7Pt3Rh2
Source: the Alexandria database
Functional: PBE
Structure: relaxed

a b c (Å): 4.211 2.668 14.176
angles (deg): 90.00 91.82 90.00
Space group P2/m (No. 10)
Symmetry-distinct sites (fractional):
Ni 0.000 0.000 0.000 (multiplicity 1)
Ni 0.207 0.500 0.173 (multiplicity 2)
Ni 0.255 0.500 0.539 (multiplicity 2)
Ni 0.294 0.000 0.857 (multiplicity 2)
Pt 0.235 0.000 0.374 (multiplicity 2)
Pt 0.500 0.500 0.000 (multiplicity 1)
Rh 0.275 0.500 0.712 (multiplicity 2)

Properties
Energy of formation: 1.415 eV per formula unit
Energy above the lowest structure with this stoichiometry: 0.0000 eV/atom



No. 14
Compound: Sb2AuSe
Source: the Alexandria database
Functional: PBE
Structure: relaxed

a b c (Å): 6.260 6.260 13.286
angles (deg): 90.00 90.00 90.00
Space group I-42d (No. 122)
Symmetry-distinct sites (fractional):
Sb 0.226 0.250 0.125 (multiplicity 8)
Au 0.000 0.000 0.000 (multiplicity 4)
Se 0.000 0.000 0.500 (multiplicity 4)

Properties
Uncorrected formation energy: 0.099 eV per atom



No. 15
Compound: TaAs2Os
Source: the Alexandria database
Functional: PBE
Structure: relaxed

a b c (Å): 3.063 3.858 5.654
angles (deg): 90.00 90.00 90.00
Space group Pmmm (No. 47)
Symmetry-distinct sites (fractional):
Ta 0.000 0.000 0.000 (multiplicity 1)
As 0.500 0.500 0.238 (multiplicity 2)
Os 0.500 0.000 0.500 (multiplicity 1)

Properties
Energy of formation: 0.974 eV per formula unit
Energy above the lowest structure with this stoichiometry: 0.3524 eV/atom



No. 16
Compound: NaSr2Pm
Source: the Alexandria database
Functional: PBE
Structure: relaxed

a b c (Å): 6.436 6.436 4.203
angles (deg): 90.00 90.00 90.00
Space group P4/mmm (No. 123)
Symmetry-distinct sites (fractional):
Na 0.000 0.000 0.000 (multiplicity 1)
Sr 0.000 0.500 0.500 (multiplicity 2)
Pm 0.500 0.500 0.000 (multiplicity 1)

Properties
Energy of formation: 0.684 eV per formula unit
Energy above the lowest structure with this stoichiometry: 0.0585 eV/atom



No. 17
Compound: SmMgGe2Ru
Source: the Alexandria database
Functional: PBE
Structure: relaxed

a b c (Å): 4.084 4.084 11.431
angles (deg): 90.00 90.00 90.00
Space group I-4m2 (No. 119)
Symmetry-distinct sites (fractional):
Sm 0.000 0.000 0.000 (multiplicity 2)
Mg 0.000 0.500 0.250 (multiplicity 2)
Ge 0.000 0.000 0.389 (multiplicity 4)
Ru 0.000 0.500 0.750 (multiplicity 2)

Properties
Energy of formation: -2.579 eV per formula unit



No. 18
Compound: K2TcAg
Source: the Alexandria database
Functional: PBE
Structure: relaxed

a b c (Å): 2.844 4.493 9.912
angles (deg): 90.00 90.00 90.00
Space group Pmm2 (No. 25)
Symmetry-distinct sites (fractional):
K 0.000 0.000 0.000 (multiplicity 1)
K 0.500 0.500 0.420 (multiplicity 1)
Tc 0.000 0.000 0.672 (multiplicity 1)
Ag 0.500 0.500 0.755 (multiplicity 1)

Properties
Energy of formation: 3.361 eV per formula unit
Energy above the lowest structure with this stoichiometry: 0.0000 eV/atom



No. 19
Compound: LiAcCrH6
Source: the Alexandria database
Functional: PBE
Structure: relaxed

a b c (Å): 4.6896 4.6896 4.6728
angles (deg): 90.00 90.00 120.00
Space group P-6m2 (No. 187)
Symmetry-distinct sites (fractional):
Li 0.0000 0.0000 0.0000 (multiplicity 1)
Ac 0.6667 0.3333 0.5000 (multiplicity 1)
Cr 0.3333 0.6667 0.0000 (multiplicity 1)
H 0.1778 0.3556 0.2480 (multiplicity 6)



No. 20
Compound: LaPmCu2
Source: the Alexandria database
Functional: PBE
Structure: relaxed

a b c (Å): 3.603 3.603 7.234
angles (deg): 90.00 90.00 90.00
Space group P4/mmm (No. 123)
Symmetry-distinct sites (fractional):
La 0.000 0.000 0.000 (multiplicity 1)
Pm 0.000 0.000 0.500 (multiplicity 1)
Cu 0.500 0.500 0.266 (multiplicity 2)

Properties
Energy of formation: -0.603 eV per formula unit
Energy above the lowest structure with this stoichiometry: 0.0267 eV/atom



no.,V (Å³/atom),E (eV/atom)
1,30.81,-4.9422
2,36.40,-4.6702
3,25.17,-5.8882
4,23.57,-6.5071
5,32.35,-4.4231
6,13.85,-6.3626
7,12.41,-4.3539
8,8.75,-4.1038
9,14.01,-8.4670
10,12.97,-8.2820
11,26.68,-2.6416
12,29.59,-5.8774
13,13.27,-5.9900
14,32.54,-3.6530
15,16.71,-7.8519
16,43.52,-2.1874
17,19.06,-5.4806
18,31.67,-3.0129
19,9.89,-4.3048
20,23.47,-4.6184